# 1
# U2GeSb, optimized geometry, DFT PBE
# Symmetry: R-3m (166)
# Calculated volume (Å³/cell): 88.8
# Energy above the lowest structure with this stoichiometry (meV/atom): 161.3
# Total moment (Bohr magnetons per cell): 4.25
# DFT total energy (eV/atom): -7.791
data_U2GeSb
_chemical_formula_sum 'U2 Ge1 Sb1'
_cell_length_a 3.103
_cell_length_b 3.103
_cell_length_c 10.793
_cell_angle_alpha 81.74
_cell_angle_beta 81.74
_cell_angle_gamma 60.00
_space_group_name_H-M_alt 'P 1'
_space_group_IT_number 1
_space_group_name_Hall 'P 1'
loop_
_atom_site_label
_atom_site_fract_x
_atom_site_fract_y
_atom_site_fract_z
_atom_site_occupancy
Sb1 0.500 0.500 0.500 1
Ge1 0.000 0.000 0.000 1
U1 0.746 0.746 0.763 1
U2 0.254 0.254 0.237 1


# 2
# U2GeSb, optimized geometry, DFT PBE
# Symmetry: R3m (160)
# Calculated volume (Å³/cell): 108.4
# Energy above the lowest structure with this stoichiometry (meV/atom): 110.3
# Total moment (Bohr magnetons per cell): 4.91
# DFT total energy (eV/atom): -7.842
data_U2GeSb
_chemical_formula_sum 'U2 Ge1 Sb1'
_cell_length_a 4.066
_cell_length_b 4.066
_cell_length_c 7.929
_cell_angle_alpha 75.15
_cell_angle_beta 75.15
_cell_angle_gamma 60.00
_space_group_name_H-M_alt 'P 1'
_space_group_IT_number 1
_space_group_name_Hall 'P 1'
loop_
_atom_site_label
_atom_site_fract_x
_atom_site_fract_y
_atom_site_fract_z
_atom_site_occupancy
U1 0.075 0.075 0.775 1
U2 0.258 0.258 0.227 1
Ge1 0.668 0.668 0.996 1
Sb1 0.499 0.499 0.503 1


# 3
# VGeSb, optimized geometry, DFT PBE
# Symmetry: P-6m2 (187)
# Calculated volume (Å³/cell): 57.6
# Total moment (Bohr magnetons per cell): 0.00
# DFT total energy (eV/atom): -5.660
data_VGeSb
_chemical_formula_sum 'V1 Ge1 Sb1'
_cell_length_a 3.520
_cell_length_b 4.346
_cell_length_c 4.346
_cell_angle_alpha 120.00
_cell_angle_beta 90.00
_cell_angle_gamma 90.00
_space_group_name_H-M_alt 'P 1'
_space_group_IT_number 1
_space_group_name_Hall 'P 1'
loop_
_atom_site_label
_atom_site_fract_x
_atom_site_fract_y
_atom_site_fract_z
_atom_site_occupancy
Sb1 0.667 0.667 0.333 1
Ge1 0.167 0.333 0.667 1
V1 0.167 0.000 0.000 1


# 4
# V3GeSb, optimized geometry, DFT PBE
# Symmetry: Pm-3m (221)
# Calculated volume (Å³/cell): 102.0
# Energy above the lowest structure with this stoichiometry (meV/atom): 0.0
# Total moment (Bohr magnetons per cell): 7.08
# DFT total energy (eV/atom): -6.530
data_V3GeSb
_chemical_formula_sum 'V3 Ge1 Sb1'
_cell_length_a 4.672
_cell_length_b 4.672
_cell_length_c 4.672
_cell_angle_alpha 90.00
_cell_angle_beta 90.00
_cell_angle_gamma 90.00
_space_group_name_H-M_alt 'P 1'
_space_group_IT_number 1
_space_group_name_Hall 'P 1'
loop_
_atom_site_label
_atom_site_fract_x
_atom_site_fract_y
_atom_site_fract_z
_atom_site_occupancy
Sb1 0.500 0.500 0.500 1
Ge1 0.000 0.000 0.000 1
V1 0.000 0.500 0.000 1
V2 0.000 0.000 0.500 1
V3 0.500 0.000 0.000 1


# 5
# VGeSb, optimized geometry, DFT PBE
# Symmetry: Immm (71)
# Calculated volume (Å³/cell): 116.2
# Total moment (Bohr magnetons per cell): 0.00
# DFT total energy (eV/atom): -5.670
data_VGeSb
_chemical_formula_sum 'V2 Ge2 Sb2'
_cell_length_a 4.896
_cell_length_b 2.878
_cell_length_c 8.723
_cell_angle_alpha 99.50
_cell_angle_beta 106.30
_cell_angle_gamma 90.00
_space_group_name_H-M_alt 'P 1'
_space_group_IT_number 1
_space_group_name_Hall 'P 1'
loop_
_atom_site_label
_atom_site_fract_x
_atom_site_fract_y
_atom_site_fract_z
_atom_site_occupancy
Sb1 0.688 0.188 0.377 1
Sb2 0.312 0.812 0.623 1
Ge1 0.749 0.500 0.000 1
Ge2 0.251 0.500 0.000 1
V1 0.137 0.637 0.274 1
V2 0.863 0.363 0.726 1


# 6
# V2GeSb, optimized geometry, DFT PBE
# Symmetry: Fm-3m (225)
# Calculated volume (Å³/cell): 64.6
# Energy above the lowest structure with this stoichiometry (meV/atom): 0.0
# Total moment (Bohr magnetons per cell): 0.00
# DFT total energy (eV/atom): -6.604
data_V2GeSb
_chemical_formula_sum 'V2 Ge1 Sb1'
_cell_length_a 4.503
_cell_length_b 4.503
_cell_length_c 4.503
_cell_angle_alpha 60.00
_cell_angle_beta 60.00
_cell_angle_gamma 60.00
_space_group_name_H-M_alt 'P 1'
_space_group_IT_number 1
_space_group_name_Hall 'P 1'
loop_
_atom_site_label
_atom_site_fract_x
_atom_site_fract_y
_atom_site_fract_z
_atom_site_occupancy
Sb1 0.500 0.500 0.500 1
Ge1 0.000 0.000 0.000 1
V1 0.250 0.250 0.250 1
V2 0.750 0.750 0.750 1


# 7
# VGeSb3, optimized geometry, DFT PBE
# Symmetry: Pm-3m (221)
# Calculated volume (Å³/cell): 146.9
# Energy above the lowest structure with this stoichiometry (meV/atom): 500.6
# Total moment (Bohr magnetons per cell): 3.56
# DFT total energy (eV/atom): -4.228
data_VGeSb3
_chemical_formula_sum 'V1 Ge1 Sb3'
_cell_length_a 5.276
_cell_length_b 5.276
_cell_length_c 5.276
_cell_angle_alpha 90.00
_cell_angle_beta 90.00
_cell_angle_gamma 90.00
_space_group_name_H-M_alt 'P 1'
_space_group_IT_number 1
_space_group_name_Hall 'P 1'
loop_
_atom_site_label
_atom_site_fract_x
_atom_site_fract_y
_atom_site_fract_z
_atom_site_occupancy
Sb1 0.000 0.500 0.000 1
Sb2 0.000 0.000 0.500 1
Sb3 0.500 0.000 0.000 1
Ge1 0.000 0.000 0.000 1
V1 0.500 0.500 0.500 1


# 8
# V3GeSb, optimized geometry, DFT PBE
# Symmetry: Pm-3m (221)
# Calculated volume (Å³/cell): 124.6
# Energy above the lowest structure with this stoichiometry (meV/atom): 609.9
# Total moment (Bohr magnetons per cell): 8.07
# DFT total energy (eV/atom): -5.920
data_V3GeSb
_chemical_formula_sum 'V3 Ge1 Sb1'
_cell_length_a 4.995
_cell_length_b 4.995
_cell_length_c 4.995
_cell_angle_alpha 90.00
_cell_angle_beta 90.00
_cell_angle_gamma 90.00
_space_group_name_H-M_alt 'P 1'
_space_group_IT_number 1
_space_group_name_Hall 'P 1'
loop_
_atom_site_label
_atom_site_fract_x
_atom_site_fract_y
_atom_site_fract_z
_atom_site_occupancy
Sb1 0.000 0.000 0.000 1
Ge1 0.500 0.500 0.500 1
V1 0.000 0.500 0.000 1
V2 0.000 0.000 0.500 1
V3 0.500 0.000 0.000 1


# 9
# VGe2Sb, optimized geometry, DFT PBE
# Symmetry: R-3m (166)
# Calculated volume (Å³/cell): 79.3
# Total moment (Bohr magnetons per cell): 1.14
# DFT total energy (eV/atom): -5.468
data_VGe2Sb
_chemical_formula_sum 'V1 Ge2 Sb1'
_cell_length_a 3.118
_cell_length_b 3.118
_cell_length_c 9.594
_cell_angle_alpha 80.65
_cell_angle_beta 80.65
_cell_angle_gamma 60.00
_space_group_name_H-M_alt 'P 1'
_space_group_IT_number 1
_space_group_name_Hall 'P 1'
loop_
_atom_site_label
_atom_site_fract_x
_atom_site_fract_y
_atom_site_fract_z
_atom_site_occupancy
Sb1 0.000 0.000 0.000 1
Ge1 0.101 0.101 0.696 1
Ge2 0.899 0.899 0.304 1
V1 0.500 0.500 0.500 1


# 10
# VGe2Sb, optimized geometry, DFT PBE
# Symmetry: I-42d (122)
# Calculated volume (Å³/cell): 217.5
# Total moment (Bohr magnetons per cell): 3.95
# DFT total energy (eV/atom): -5.131
data_VGe2Sb
_chemical_formula_sum 'V2 Ge4 Sb2'
_cell_length_a 5.965
_cell_length_b 5.965
_cell_length_c 7.427
_cell_angle_alpha 66.32
_cell_angle_beta 66.32
_cell_angle_gamma 90.00
_space_group_name_H-M_alt 'P 1'
_space_group_IT_number 1
_space_group_name_Hall 'P 1'
loop_
_atom_site_label
_atom_site_fract_x
_atom_site_fract_y
_atom_site_fract_z
_atom_site_occupancy
Sb1 0.000 0.000 0.000 1
Sb2 0.750 0.250 0.500 1
Ge1 0.595 0.125 0.250 1
Ge2 0.155 0.625 0.250 1
Ge3 0.375 0.405 0.750 1
Ge4 0.875 0.845 0.750 1
V1 0.500 0.500 0.000 1
V2 0.250 0.750 0.500 1


# 11
# V12Ge3Sb, optimized geometry, DFT PBE
# Symmetry: Pmmm (47)
# Calculated volume (Å³/cell): 221.9
# Total moment (Bohr magnetons per cell): 0.00
# DFT total energy (eV/atom): -8.260
data_V12Ge3Sb
_chemical_formula_sum 'V12 Ge3 Sb1'
_cell_length_a 4.808
_cell_length_b 4.821
_cell_length_c 9.572
_cell_angle_alpha 90.00
_cell_angle_beta 90.00
_cell_angle_gamma 90.00
_space_group_name_H-M_alt 'P 1'
_space_group_IT_number 1
_space_group_name_Hall 'P 1'
loop_
_atom_site_label
_atom_site_fract_x
_atom_site_fract_y
_atom_site_fract_z
_atom_site_occupancy
V1 0.500 0.000 0.368 1
V2 0.500 0.000 0.876 1
V3 0.755 0.500 0.000 1
V4 0.741 0.500 0.500 1
V5 0.000 0.744 0.243 1
V6 0.000 0.744 0.757 1
V7 0.500 0.000 0.124 1
V8 0.500 0.000 0.632 1
V9 0.245 0.500 0.000 1
V10 0.259 0.500 0.500 1
V11 0.000 0.256 0.243 1
V12 0.000 0.256 0.757 1
Ge1 0.500 0.500 0.249 1
Ge2 0.500 0.500 0.751 1
Ge3 0.000 0.000 0.000 1
Sb1 0.000 0.000 0.500 1


# 12
# VGeSb3, optimized geometry, DFT PBE
# Symmetry: Pm-3m (221)
# Calculated volume (Å³/cell): 134.6
# Energy above the lowest structure with this stoichiometry (meV/atom): 0.0
# Total moment (Bohr magnetons per cell): 1.06
# DFT total energy (eV/atom): -4.729
data_VGeSb3
_chemical_formula_sum 'V1 Ge1 Sb3'
_cell_length_a 5.125
_cell_length_b 5.125
_cell_length_c 5.125
_cell_angle_alpha 90.00
_cell_angle_beta 90.00
_cell_angle_gamma 90.00
_space_group_name_H-M_alt 'P 1'
_space_group_IT_number 1
_space_group_name_Hall 'P 1'
loop_
_atom_site_label
_atom_site_fract_x
_atom_site_fract_y
_atom_site_fract_z
_atom_site_occupancy
Sb1 0.000 0.500 0.000 1
Sb2 0.000 0.000 0.500 1
Sb3 0.500 0.000 0.000 1
Ge1 0.500 0.500 0.500 1
V1 0.000 0.000 0.000 1


# 13
# V2GeSb, optimized geometry, DFT PBE
# Symmetry: I-42d (122)
# Calculated volume (Å³/cell): 143.9
# Energy above the lowest structure with this stoichiometry (meV/atom): 248.9
# Total moment (Bohr magnetons per cell): 0.00
# DFT total energy (eV/atom): -6.355
data_V2GeSb
_chemical_formula_sum 'V4 Ge2 Sb2'
_cell_length_a 3.954
_cell_length_b 3.954
_cell_length_c 9.620
_cell_angle_alpha 78.14
_cell_angle_beta 78.14
_cell_angle_gamma 90.00
_space_group_name_H-M_alt 'P 1'
_space_group_IT_number 1
_space_group_name_Hall 'P 1'
loop_
_atom_site_label
_atom_site_fract_x
_atom_site_fract_y
_atom_site_fract_z
_atom_site_occupancy
Sb1 0.000 0.000 0.000 1
Sb2 0.750 0.250 0.500 1
Ge1 0.500 0.500 0.000 1
Ge2 0.250 0.750 0.500 1
V1 0.585 0.125 0.250 1
V2 0.165 0.625 0.250 1
V3 0.375 0.415 0.750 1
V4 0.875 0.835 0.750 1